Entry 1:
# Ce2U2Ru5

A relaxed Ce2U2Ru5 crystal (GGA-PBE, Alexandria).

```
9
Lattice="5.8339 -2.6946 0.0000 5.8339 2.6946 0.0000 -2.5714 0.0000 5.9765" Properties=species:S:1:pos:R:3 pbc="T T T"
Ce 0.4655 0.0000 2.6284
Ce 8.6308 0.0000 3.3480
U 3.4951 0.0000 0.8516
U 5.6012 0.0000 5.1248
Ru -1.0663 0.0000 5.6286
Ru 3.1487 0.0000 3.3166
Ru 5.8339 0.0000 0.0000
Ru 5.9476 0.0000 2.6598
Ru 10.1626 0.0000 0.3478
```

Values from the calculation:
**Calculated formation energy**: -143 meV per atom
**Total moment**: 0.00 μB/f.u.
**DFT total energy**: -9.12 eV/atom

=====

Entry 2:
# ZrTeBr2

A relaxed ZrTeBr2 crystal (GGA-PBE, Alexandria).

```
4
Lattice="0.0000 3.6656 3.6656 3.6656 0.0000 3.6656 3.6656 3.6656 0.0000" Properties=species:S:1:pos:R:3 pbc="T T T"
Zr 0.0000 0.0000 0.0000
Te 5.4983 5.4983 5.4983
Br 1.8328 1.8328 1.8328
Br 3.6656 3.6656 3.6656
```

Values from the calculation:
**Total moment**: 0.00 μB/f.u.
**ΔE to the lowest computed polymorph**: 0.721 eV/atom
**DFT total energy**: -4.12 eV/atom

=====

Entry 3:
# CdHg2Br

A relaxed CdHg2Br crystal (GGA-PBE, Alexandria).

```
4
Lattice="5.2919 0.0000 0.0000 0.0000 5.2919 0.0000 0.0000 0.0000 3.9073" Properties=species:S:1:pos:R:3 pbc="T T T"
Cd 0.0000 0.0000 0.0000
Hg 0.0000 2.6460 1.9537
Hg 2.6460 0.0000 1.9537
Br 2.6460 2.6460 0.0000
```

Values from the calculation:
**Total moment**: 0.00 μB/f.u.
**ΔE to the lowest computed polymorph**: 0.166 eV/atom
**DFT total energy**: -0.83 eV/atom

=====

Entry 4:
# SrRe2W

A relaxed SrRe2W crystal (GGA-PBE, Alexandria).

```
4
Lattice="-1.5106 2.5805 4.8785 1.5106 -2.5805 4.8785 1.5106 2.5805 -4.8785" Properties=species:S:1:pos:R:3 pbc="T T T"
Sr 0.0000 0.0000 0.0000
Re 1.5106 0.0000 2.7602
Re 0.0000 2.5805 2.1183
W 0.0000 0.0000 4.8785
```

Values from the calculation:
**Calculated formation energy**: 1036 meV per atom
**Total moment**: 0.00 μB/f.u.
**ΔE to the lowest computed polymorph**: 0.308 eV/atom
**DFT total energy**: -8.85 eV/atom

=====

Entry 5:
# LiCa2ZnBr

A relaxed LiCa2ZnBr crystal (GGA-PBE, Alexandria).

```
5
Lattice="5.7232 0.0000 0.0000 0.0000 5.7232 0.0000 0.0000 0.0000 5.8716" Properties=species:S:1:pos:R:3 pbc="T T T"
Li 0.0000 0.0000 0.0000
Ca 0.0000 2.8616 2.9358
Ca 2.8616 0.0000 2.9358
Zn 2.8616 2.8616 2.9358
Br 2.8616 2.8616 0.0000
```

Values from the calculation:
**Total moment**: 0.00 μB/f.u.
**DFT total energy**: -1.79 eV/atom

=====

Entry 6:
# Mg2Si3

A relaxed Mg2Si3 crystal (GGA-PBE, Alexandria).

```
20
Lattice="3.6205 0.0000 0.0000 1.7802 5.8933 0.0000 1.3843 2.6639 17.4045" Properties=species:S:1:pos:R:3 pbc="T T T"
Mg 0.0000 0.0000 0.0000
Mg 1.8429 5.4079 6.0610
Mg 1.7952 3.6119 3.5236
Mg 1.9548 1.6135 7.9129
Mg 3.2065 2.4836 12.8940
Mg 4.9861 6.7576 15.4340
Mg 4.9858 4.5664 11.2558
Mg 3.6247 0.7845 3.1618
Si 2.0317 5.4418 8.7913
Si 3.2155 6.9193 10.6640
Si 3.1770 6.1340 13.0644
Si 3.1907 5.4019 17.0685
Si 1.8134 1.5458 5.2321
Si 3.2133 3.6161 15.4261
Si 3.5923 4.9538 1.8917
Si 3.2959 2.5793 10.2318
Si 3.7791 3.9104 8.2285
Si 3.6350 3.0822 5.8746
Si 3.6155 2.6762 1.2068
Si 5.0076 4.4594 13.9301
```

Values from the calculation:
**Total moment**: 0.00 μB/f.u.
**ΔE to the lowest computed polymorph**: 0.054 eV/atom
**DFT total energy**: -3.81 eV/atom

=====

Entry 7:
# HoH2Pd8

A relaxed HoH2Pd8 crystal (GGA-PBE, Alexandria).

```
11
Lattice="5.1445 -3.6513 0.0000 5.1445 3.6513 0.0000 -0.9724 0.0000 4.4402" Properties=species:S:1:pos:R:3 pbc="T T T"
Ho 0.0000 0.0000 0.0000
H 1.9640 0.0000 3.2313
H 7.3526 0.0000 1.2089
Pd 3.3289 2.3081 1.8479
Pd 2.6952 0.0000 0.6123
Pd 5.9877 2.3081 2.5923
Pd 3.7692 0.0000 3.2009
Pd 5.5474 0.0000 1.2393
Pd 3.3289 -2.3081 1.8479
Pd 6.6214 0.0000 3.8279
Pd 5.9877 -2.3081 2.5923
```

Values from the calculation:
**Total moment**: 0.00 μB/f.u.
**DFT total energy**: -5.01 eV/atom

=====

Entry 8:
# ZrTeP2

A relaxed ZrTeP2 crystal (GGA-PBE, Alexandria).

```
4
Lattice="1.9658 1.1349 7.0511 -1.9658 1.1349 7.0511 0.0000 -2.2699 7.0511" Properties=species:S:1:pos:R:3 pbc="T T T"
Zr 0.0000 0.0000 0.0000
Te 0.0000 0.0000 5.1733
P 0.0000 0.0000 9.0545
P 0.0000 0.0000 15.7219
```

Values from the calculation:
**Total moment**: 0.00 μB/f.u.
**ΔE to the lowest computed polymorph**: 0.218 eV/atom
**DFT total energy**: -6.00 eV/atom

=====

Entry 9:
# Pm12InRu7

A relaxed Pm12InRu7 crystal (GGA-PBE, Alexandria).

```
20
Lattice="7.0999 4.0991 2.9602 -7.0999 4.0991 2.9602 0.0000 -8.1982 2.9602" Properties=species:S:1:pos:R:3 pbc="T T T"
Pm -1.4537 -1.6224 2.3150
Pm -3.7511 0.7958 3.3012
Pm -0.6782 2.0702 2.3150
Pm 1.1863 -3.6464 3.3012
Pm -2.5647 -2.8506 5.5793
Pm 2.1319 -0.4477 2.3150
Pm -2.1319 0.4477 6.5655
Pm 2.5647 2.8506 3.3012
Pm -1.1864 3.6464 5.5793
Pm 0.6782 -2.0702 6.5655
Pm 3.7511 -0.7958 5.5793
Pm 1.4537 1.6224 6.5655
In 0.0000 0.0000 0.0000
Ru -6.4226 1.4007 3.7068
Ru -4.4243 -4.8618 5.1738
Ru 1.9983 -6.2625 3.7068
Ru 0.0000 0.0000 4.4403
Ru -1.9983 6.2625 5.1738
Ru 4.4243 4.8618 3.7068
Ru 6.4226 -1.4007 5.1738
```

Values from the calculation:
**Calculated formation energy**: -159 meV per atom
**Total moment**: 0.00 μB/f.u.
**DFT total energy**: -6.39 eV/atom

=====

Entry 10:
# Ta2WBr

A relaxed Ta2WBr crystal (GGA-PBE, Alexandria).

```
4
Lattice="3.2102 0.0000 0.0000 0.0000 3.2816 0.0000 0.0000 0.0000 7.7130" Properties=species:S:1:pos:R:3 pbc="T T T"
Ta 0.0000 0.0000 1.5069
Ta 0.0000 0.0000 6.2060
W 1.6051 1.6408 0.0000
Br 1.6051 0.0000 3.8565
```

Values from the calculation:
**Total moment**: 0.00 μB/f.u.
**ΔE to the lowest computed polymorph**: 0.000 eV/atom
**DFT total energy**: -9.41 eV/atom

=====

Entry 11:
# LaHgCl

A relaxed LaHgCl crystal (GGA-PBE, Alexandria).

```
3
Lattice="0.0000 3.6042 3.6042 3.6042 0.0000 3.6042 3.6042 3.6042 0.0000" Properties=species:S:1:pos:R:3 pbc="T T T"
La 0.0000 0.0000 0.0000
Hg 1.8021 1.8021 1.8021
Cl 5.4063 5.4063 5.4063
```

Values from the calculation:
**Total moment**: 0.00 μB/f.u.
**ΔE to the lowest computed polymorph**: 0.392 eV/atom
**DFT total energy**: -3.18 eV/atom

=====

Entry 12:
# SnO

A relaxed SnO crystal (GGA-PBE, Alexandria).

```
6
Lattice="3.5614 0.0000 0.0000 0.0000 6.7986 2.4643 0.0000 -6.7986 2.4643" Properties=species:S:1:pos:R:3 pbc="T T T"
Sn 0.0000 0.0000 0.0000
Sn 1.7807 -2.0244 2.2271
Sn 1.7807 2.0244 2.2271
O 0.0000 -1.9988 0.9996
O 0.0000 1.9988 0.9996
O 1.7807 0.0000 1.3216
```

Values from the calculation:
**Total moment**: 0.00 μB/f.u.
**DFT total energy**: -5.65 eV/atom